Record 1
# Pr2AgSn

Pr2AgSn after structural relaxation (PBE, the Alexandria database).

- uncorrected energy (eV per atom) = -4.606

abc: 4.7119 6.4499 8.3119
angles: 110.32 90.00 90.00
Positions (direct):
Pr  0.2500  0.7900  0.5860
Pr  0.7500  0.2068  0.9357
Pr  0.2500  0.7932  0.0643
Pr  0.7500  0.2100  0.4140
Ag  0.2500  0.3581  0.2122
Ag  0.7500  0.6419  0.7878
Sn  0.7500  0.6688  0.2920
Sn  0.2500  0.3312  0.7080


Record 2
# ScMnC3

ScMnC3 after structural relaxation (PBE, the Alexandria database).

- polymorph energy (0 for the lowest one) (eV/f.u.) = 9.14

abc: 4.0959 4.0959 4.0959
angles: 90.00 90.00 90.00
Positions (direct):
C  0.0000  0.5000  0.0000
C  0.0000  0.0000  0.5000
C  0.5000  0.0000  0.0000
Mn  0.5000  0.5000  0.5000
Sc  0.0000  0.0000  0.0000


Record 3
# P2IBr

P2IBr after structural relaxation (PBE, the Alexandria database).

- polymorph energy (0 for the lowest one) (eV/f.u.) = 0.00
- E_form (uncorrected) (eV/f.u.) = 3.75

abc: 7.4051 7.4051 6.4886
angles: 55.21 55.21 90.00
Positions (direct):
P  0.1305  0.6250  0.2500
P  0.3750  0.3805  0.7500
P  0.6195  0.1250  0.2500
P  0.8750  0.8695  0.7500
Br  0.2500  0.7500  0.5000
Br  0.5000  0.5000  0.0000
I  0.0000  0.0000  0.0000
I  0.7500  0.2500  0.5000


Record 4
# Y2Ga3Co

Y2Ga3Co after structural relaxation (PBE, the Alexandria database).

- uncorrected energy (eV per atom) = -5.419

abc: 4.2630 5.5930 5.6955
angles: 77.79 68.02 67.60
Positions (direct):
Y  0.5467  0.2076  0.6989
Y  0.4509  0.8021  0.2962
Co  0.1616  0.3845  0.2923
Ga  0.8533  0.6139  0.6795
Ga  0.8202  0.2354  0.1242
Ga  0.1673  0.7565  0.9090


Record 5
# InGa2Cu

InGa2Cu after structural relaxation (PBE, the Alexandria database).

- uncorrected energy (eV per atom) = -3.100

abc: 4.3181 4.1582 4.1582
angles: 90.00 90.00 90.00
Positions (direct):
Ga  0.0000  0.0000  0.5000
Ga  0.0000  0.5000  0.0000
Cu  0.5000  0.5000  0.5000
In  0.5000  0.0000  0.0000


Record 6
# CdCo2Pb

CdCo2Pb after structural relaxation (PBE, the Alexandria database).

- polymorph energy (0 for the lowest one) (eV/f.u.) = 1.89

abc: 7.1872 7.1872 5.8189
angles: 51.86 51.86 90.00
Positions (direct):
Cd  0.2500  0.7500  0.5000
Cd  0.5000  0.5000  0.0000
Co  0.1234  0.6250  0.2500
Co  0.3750  0.3734  0.7500
Co  0.8750  0.8766  0.7500
Co  0.6266  0.1250  0.2500
Pb  0.0000  0.0000  0.0000
Pb  0.7500  0.2500  0.5000


Record 7
# SrRe3P

SrRe3P after structural relaxation (PBE, the Alexandria database).

- polymorph energy (0 for the lowest one) (eV/f.u.) = 15.94

abc: 4.8212 4.8212 4.8212
angles: 90.00 90.00 90.00
Positions (direct):
Re  0.0000  0.0000  0.5000
Re  0.0000  0.5000  0.0000
Re  0.5000  0.0000  0.0000
Sr  0.0000  0.0000  0.0000
P  0.5000  0.5000  0.5000


Record 8
# PmTl3Te3

PmTl3Te3 after structural relaxation (PBE, the Alexandria database).

- E_form (uncorrected) (eV/f.u.) = -5.10

abc: 4.5823 9.6294 13.2946
angles: 90.28 90.00 90.00
Positions (direct):
Te  0.7500  0.1142  0.8607
Te  0.2500  0.3501  0.6186
Te  0.7500  0.1077  0.3832
Te  0.7500  0.6499  0.3814
Te  0.2500  0.8923  0.6168
Te  0.2500  0.8858  0.1393
Pm  0.2500  0.8786  0.3774
Pm  0.7500  0.1214  0.6226
Tl  0.7500  0.6497  0.1395
Tl  0.2500  0.3749  0.3746
Tl  0.2500  0.8768  0.8715
Tl  0.7500  0.1232  0.1285
Tl  0.7500  0.6251  0.6254
Tl  0.2500  0.3503  0.8605


Record 9
# CdCu2Re

CdCu2Re after structural relaxation (PBE, the Alexandria database).

- uncorrected energy (eV per atom) = -4.956

abc: 4.6354 4.6354 2.7167
angles: 90.00 90.00 90.00
Positions (direct):
Cd  0.0000  0.5000  0.5000
Cu  0.5000  0.5000  0.0000
Cu  0.0000  0.0000  0.0000
Re  0.5000  0.0000  0.5000


Record 10
# Sc2CrIn

Sc2CrIn after structural relaxation (PBE, the Alexandria database).

- uncorrected energy (eV per atom) = -6.157

abc: 9.5689 9.5689 9.5689
angles: 19.36 19.36 19.36
Positions (direct):
Sc  0.9917  0.9917  0.9917
Sc  0.5083  0.5083  0.5083
Cr  0.2500  0.2500  0.2500
In  0.7500  0.7500  0.7500


Record 11
# Tb2Nd6DyEr

Tb2Nd6DyEr after structural relaxation (PBE, the Alexandria database).

- uncorrected energy (eV per atom) = -4.588

abc: 9.6779 8.9655 8.9655
angles: 117.88 93.92 93.92
Positions (direct):
Nd  0.9459  0.8815  0.2392
Nd  0.6181  0.4927  0.7082
Nd  0.1181  0.7082  0.4927
Nd  0.3114  0.9896  0.4340
Nd  0.8114  0.4340  0.9896
Nd  0.0541  0.1185  0.7608
Nd  0.3819  0.5073  0.2918
Nd  0.1886  0.5660  0.0104
Nd  0.6886  0.0104  0.5660
Nd  0.4459  0.2392  0.8815
Nd  0.8819  0.2918  0.5073
Nd  0.5541  0.7608  0.1185
Tb  0.9548  0.7015  0.8003
Tb  0.5452  0.1997  0.2985
Tb  0.4548  0.8003  0.7015
Tb  0.0452  0.2985  0.1997
Dy  0.2500  0.9739  0.0261
Dy  0.7500  0.0261  0.9739
Er  0.2500  0.4108  0.5892
Er  0.7500  0.5892  0.4108


Record 12
# Tb6YEr3Th2

Tb6YEr3Th2 after structural relaxation (PBE, the Alexandria database).

- uncorrected energy (eV per atom) = -5.202

abc: 6.1545 6.1545 11.7846
angles: 95.00 95.00 119.95
Positions (direct):
Tb  0.7465  0.7465  0.2497
Tb  0.4208  0.0838  0.2494
Tb  0.0838  0.4208  0.2494
Tb  0.9162  0.5792  0.7506
Tb  0.5792  0.9162  0.7506
Tb  0.2535  0.2535  0.7503
Er  0.8335  0.1665  0.5000
Er  0.1665  0.8335  0.5000
Er  0.5000  0.5000  0.5000
Th  0.3334  0.6666  0.0000
Th  0.6666  0.3334  0.0000
Y  0.0000  0.0000  0.0000